A plane-wave DFT calculation with PBE was carried out for Pm2Y2Er2Tm after structural relaxation.

```
Pm2Y2Er2Tm
1.0
5.676 0.000 0.000
2.838 4.916 0.000
2.838 1.639 8.159
Pm Y Er Tm
2 2 2 1
Cartesian
2.838 1.639 4.770
8.515 4.916 3.389
8.515 4.916 7.008
2.838 1.639 1.151
5.676 3.277 2.313
5.676 3.277 5.846
0.000 0.000 0.000
```

The formation energy is 0.14 eV/atom. The crystal system is trigonal. The calculated total energy is -35.1 eV per formula unit.